(1)
Density functional theory data (PBE) for crystalline GaFeSb2S at its relaxed geometry.

Lattice parameters (Å, degrees): 4.820 4.820 4.543 90.00 90.00 90.00
Fractional positions:
Ga 0.000 0.000 0.000
Fe 0.000 0.000 0.500
Sb 0.000 0.500 0.500
Sb 0.500 0.000 0.500
S 0.500 0.500 0.000

Output
D(E_F) ... 2.69 states/eV/cell
Formation energy without anion corrections ... 0.126 eV/atom

=====

(2)
Density functional theory data (PBE) for crystalline PmTm2Pt9 at its relaxed geometry.

Lattice parameters (Å, degrees): 9.349 9.349 9.349 33.66 33.66 33.66
Fractional positions:
Pm 0.000 0.000 0.000
Tm 0.140 0.140 0.140
Tm 0.860 0.860 0.860
Pt 0.081 0.589 0.589
Pt 0.333 0.333 0.333
Pt 0.411 0.411 0.919
Pt 0.411 0.919 0.411
Pt 0.500 0.500 0.500
Pt 0.589 0.081 0.589
Pt 0.589 0.589 0.081
Pt 0.667 0.667 0.667
Pt 0.919 0.411 0.411

Output
E above lowest polymorph ... 6.58 kJ/mol of atoms
D(E_F) ... 9.63 states/eV/cell
Formation energy from the elements ... -957 meV/atom

=====

(3)
Density functional theory data (PBE) for crystalline CdAgSn at its relaxed geometry.

Lattice parameters (Å, degrees): 4.955 4.955 3.246 90.00 90.00 120.00
Fractional positions:
Cd 0.000 0.000 0.000
Ag 0.667 0.333 0.223
Sn 0.333 0.667 0.529

Output
D(E_F) ... 1.11 states/eV/cell
Formation energy from the elements ... 96 meV/atom

=====

(4)
Density functional theory data (PBE) for crystalline CaLaAl at its relaxed geometry.

Lattice parameters (Å, degrees): 5.471 5.471 6.948 90.00 90.00 120.00
Fractional positions:
Ca 0.000 0.000 0.000
Ca 0.000 0.000 0.500
La 0.333 0.667 0.250
La 0.667 0.333 0.750
Al 0.333 0.667 0.750
Al 0.667 0.333 0.250

Output
E above lowest polymorph ... 0.00 kJ/mol of atoms
D(E_F) ... 0.43 states/eV/cell
Formation energy from the elements ... -280 meV/atom

=====

(5)
Density functional theory data (PBE) for crystalline KYZr4 at its relaxed geometry.

Lattice parameters (Å, degrees): 6.219 6.219 6.219 60.00 60.00 60.00
Fractional positions:
K 0.000 0.000 0.000
Y 0.750 0.750 0.750
Zr 0.380 0.380 0.380
Zr 0.380 0.380 0.859
Zr 0.380 0.859 0.380
Zr 0.859 0.380 0.380

Output
D(E_F) ... 8.48 states/eV/cell
Formation energy from the elements ... 595 meV/atom

=====

(6)
Density functional theory data (PBE) for crystalline RbFePb2Br8 at its relaxed geometry.

Lattice parameters (Å, degrees): 7.117 7.502 8.448 69.83 89.18 88.14
Fractional positions:
Rb 0.000 0.000 0.000
Fe 0.000 0.500 0.500
Pb 0.462 0.486 0.262
Pb 0.538 0.514 0.738
Br 0.043 0.463 0.224
Br 0.233 0.750 0.421
Br 0.249 0.260 0.617
Br 0.476 0.785 0.929
Br 0.524 0.215 0.071
Br 0.751 0.740 0.383
Br 0.767 0.250 0.579
Br 0.957 0.537 0.776

Output
D(E_F) ... 10.40 states/eV/cell
Formation energy without anion corrections ... -0.837 eV/atom

=====

| no. | E (eV/cell) |
| --- | --- |
| 1 | -23.23 |
| 2 | -79.55 |
| 3 | -7.48 |
| 4 | -23.03 |
| 5 | -38.18 |
| 6 | -40.27 |